Entry 1:
VASP calculation (PBE) on an optimized crystal structure of SmSnTe2AuSe.

a = 4.267 Å, b = 14.784 Å, c = 10.636 Å
α = 90.00°, β = 90.00°, γ = 90.00°
Space group Cmcm (No. 63)
Symmetry-distinct sites (fractional):
Sm: 0.000 0.000 0.000 (multiplicity 4)
Sn: 0.000 0.252 0.250 (multiplicity 4)
Te: 0.000 0.346 0.559 (multiplicity 8)
Au: 0.000 0.475 0.750 (multiplicity 4)
Se: 0.000 0.089 0.750 (multiplicity 4)

Computed properties:
Total DFT energy (no corrections): -104.6 eV/cell
Magnetic moment: 0.01 μB/cell

---

Entry 2:
VASP calculation (PBE) on an optimized crystal structure of SmSnTeAuSe2.

a = 4.137 Å, b = 14.205 Å, c = 11.175 Å
α = 90.00°, β = 90.00°, γ = 90.00°
Space group Cmcm (No. 63)
Symmetry-distinct sites (fractional):
Sm: 0.000 0.000 0.000 (multiplicity 4)
Sn: 0.000 0.206 0.250 (multiplicity 4)
Te: 0.000 0.107 0.750 (multiplicity 4)
Au: 0.000 0.473 0.750 (multiplicity 4)
Se: 0.000 0.359 0.562 (multiplicity 8)

Computed properties:
Total DFT energy (no corrections): -108.0 eV/cell
Magnetic moment: 0.00 μB/cell

---

Entry 3:
VASP calculation (PBE) on an optimized crystal structure of SrSmTeAuSe2.

a = 4.170 Å, b = 14.703 Å, c = 11.075 Å
α = 90.00°, β = 90.00°, γ = 90.00°
Space group Cmcm (No. 63)
Symmetry-distinct sites (fractional):
Sr: 0.000 0.217 0.250 (multiplicity 4)
Sm: 0.000 0.000 0.000 (multiplicity 4)
Te: 0.000 0.104 0.750 (multiplicity 4)
Au: 0.000 0.476 0.750 (multiplicity 4)
Se: 0.000 0.365 0.563 (multiplicity 8)

Computed properties:
Total DFT energy (no corrections): -112.1 eV/cell
Magnetic moment: 0.00 μB/cell